(1)
Material: LaGa3Ge
Method: DFT, PBE
State: relaxed Values from VASP.

Results
ΔH_f (0 K): 0.913 eV per atom
Uncorrected energy: -14.1 eV/f.u.
Volume: 178.7 Å³ per cell
Spin magnetization: 0.0 μB per cell
Space-group type: No. 221
ΔE to the lowest computed polymorph: 30.90 kcal/mol of atoms

The structure in Quantum ESPRESSO input format:
```
&SYSTEM
  ibrav = 0, nat = 5, ntyp = 3
/
ATOMIC_SPECIES
Ga 69.72 Ga.upf
La 138.91 La.upf
Ge 72.64 Ge.upf
CELL_PARAMETERS angstrom
5.633 0.000 0.000
0.000 5.633 0.000
0.000 0.000 5.633
ATOMIC_POSITIONS crystal
Ga 0.500 0.000 0.000
Ga 0.000 0.500 0.000
Ga 0.000 0.000 0.500
La 0.000 0.000 0.000
Ge 0.500 0.500 0.500
```

***

(2)
Material: La8GaGe2
Method: DFT, PBE
State: relaxed Values from VASP.

Results
ΔH_f (0 K): -0.408 eV per atom
Uncorrected energy: -56.2 eV/f.u.
Volume: 334.4 Å³ per cell
Spin magnetization: 0.0 μB per cell
Space-group type: No. 12
ΔE to the lowest computed polymorph: 0.00 kcal/mol of atoms

The structure in Quantum ESPRESSO input format:
```
&SYSTEM
  ibrav = 0, nat = 11, ntyp = 3
/
ATOMIC_SPECIES
La 138.91 La.upf
Ge 72.64 Ge.upf
Ga 69.72 Ga.upf
CELL_PARAMETERS angstrom
4.980 0.000 0.000
0.000 7.668 0.030
-2.490 -3.242 8.745
ATOMIC_POSITIONS crystal
La 0.793 0.687 0.586
La 0.013 0.765 0.026
La 0.590 0.463 0.180
La 0.664 0.962 0.328
La 0.410 0.537 0.820
La 0.987 0.235 0.974
La 0.207 0.313 0.414
La 0.336 0.038 0.672
Ge 0.823 0.298 0.646
Ge 0.177 0.702 0.354
Ga 0.500 0.000 0.000
```

***

(3)
Material: LaGa3Ge
Method: DFT, PBE
State: relaxed Values from VASP.

Results
ΔH_f (0 K): -0.427 eV per atom
Uncorrected energy: -20.8 eV/f.u.
Volume: 214.8 Å³ per cell
Spin magnetization: 0.0 μB per cell
Space-group type: No. 63
ΔE to the lowest computed polymorph: 0.00 kcal/mol of atoms

The structure in Quantum ESPRESSO input format:
```
&SYSTEM
  ibrav = 0, nat = 10, ntyp = 3
/
ATOMIC_SPECIES
Ga 69.72 Ga.upf
Ge 72.64 Ge.upf
La 138.91 La.upf
CELL_PARAMETERS angstrom
6.185 0.000 0.000
0.000 5.791 -2.998
0.000 0.000 5.997
ATOMIC_POSITIONS crystal
Ga 0.250 0.232 0.116
Ga 0.500 0.000 0.272
Ga 0.000 0.000 0.272
Ga 0.500 0.000 0.728
Ga 0.000 0.000 0.728
Ga 0.750 0.768 0.884
Ge 0.750 0.329 0.664
Ge 0.250 0.671 0.336
La 0.750 0.513 0.257
La 0.250 0.487 0.743
```

***

(4)
Material: La3Ga4Ge4
Method: DFT, PBE
State: relaxed Values from VASP.

Results
ΔH_f (0 K): -0.555 eV per atom
Uncorrected energy: -51.5 eV/f.u.
Volume: 252.0 Å³ per cell
Spin magnetization: 0.0 μB per cell
Space-group type: No. 71
ΔE to the lowest computed polymorph: 1.39 kcal/mol of atoms

The structure in Quantum ESPRESSO input format:
```
&SYSTEM
  ibrav = 0, nat = 11, ntyp = 3
/
ATOMIC_SPECIES
La 138.91 La.upf
Ga 69.72 Ga.upf
Ge 72.64 Ge.upf
CELL_PARAMETERS angstrom
4.172 0.000 -0.672
-0.118 4.309 -0.736
0.110 0.169 13.972
ATOMIC_POSITIONS crystal
La 0.356 0.856 0.712
La 0.000 0.000 0.000
La 0.644 0.144 0.288
Ga 0.248 0.248 0.496
Ga 0.752 0.752 0.504
Ga 0.095 0.595 0.189
Ga 0.905 0.405 0.811
Ge 0.547 0.547 0.093
Ge 0.812 0.312 0.624
Ge 0.188 0.688 0.376
Ge 0.453 0.453 0.907
```

***

(5)
Material: La2Ga2Ge3
Method: DFT, PBE
State: relaxed Values from VASP.

Results
ΔH_f (0 K): -0.571 eV per atom
Uncorrected energy: -33.8 eV/f.u.
Volume: 326.1 Å³ per cell
Spin magnetization: 0.0 μB per cell
Space-group type: No. 63

The structure in Quantum ESPRESSO input format:
```
&SYSTEM
  ibrav = 0, nat = 14, ntyp = 3
/
ATOMIC_SPECIES
Ga 69.72 Ga.upf
La 138.91 La.upf
Ge 72.64 Ge.upf
CELL_PARAMETERS angstrom
4.253 0.000 -1.014
0.000 7.290 0.000
0.246 0.000 10.459
ATOMIC_POSITIONS crystal
Ga 0.671 0.934 0.343
Ga 0.671 0.566 0.343
Ga 0.329 0.434 0.657
Ga 0.329 0.066 0.657
La 0.954 0.250 0.908
La 0.046 0.750 0.092
La 0.169 0.250 0.338
La 0.831 0.750 0.662
Ge 0.559 0.075 0.118
Ge 0.559 0.425 0.118
Ge 0.441 0.925 0.882
Ge 0.441 0.575 0.882
Ge 0.208 0.750 0.416
Ge 0.792 0.250 0.584
```

***

(6)
Material: LaGaGe4
Method: DFT, PBE
State: relaxed Values from VASP.

Results
ΔH_f (0 K): -0.222 eV per atom
Uncorrected energy: -27.8 eV/f.u.
Volume: 127.8 Å³ per cell
Spin magnetization: 0.0 μB per cell
Space-group type: No. 216

The structure in Quantum ESPRESSO input format:
```
&SYSTEM
  ibrav = 0, nat = 6, ntyp = 3
/
ATOMIC_SPECIES
Ge 72.64 Ge.upf
Ga 69.72 Ga.upf
La 138.91 La.upf
CELL_PARAMETERS angstrom
-0.942 -2.775 4.835
4.259 -2.637 2.622
2.018 2.042 4.871
ATOMIC_POSITIONS crystal
Ge 0.626 0.626 0.123
Ge 0.123 0.626 0.626
Ge 0.626 0.626 0.626
Ge 0.626 0.123 0.626
Ga 0.000 0.000 0.000
La 0.250 0.250 0.250
```